{"formula": "RbTbFeTe3", "functional": "GGA-PBE", "state": "relaxed", "space_group": "Pnma, No. 62", "e_above_lowest_polymorph_mev_per_atom": 81, "m_tot_mub_per_atom": 0.665, "cell": [[11.0069, 0.0000, 0.0000], [0.0000, 4.4702, 0.0000], [0.0000, 0.0000, 16.3483]], "species": ["Rb", "Rb", "Rb", "Rb", "Tb", "Tb", "Tb", "Tb", "Fe", "Fe", "Fe", "Fe", "Te", "Te", "Te", "Te", "Te", "Te", "Te", "Te", "Te", "Te", "Te", "Te"], "frac_coords": [[0.0396, 0.2500, 0.1710], [0.4604, 0.7500, 0.6710], [0.5396, 0.2500, 0.3290], [0.9604, 0.7500, 0.8290], [0.1608, 0.7500, 0.4403], [0.3392, 0.2500, 0.9403], [0.6608, 0.7500, 0.0597], [0.8392, 0.2500, 0.5597], [0.1554, 0.2500, 0.6255], [0.3446, 0.7500, 0.1255], [0.6554, 0.2500, 0.8745], [0.8446, 0.7500, 0.3745], [0.0250, 0.7500, 0.6094], [0.1770, 0.7500, 0.0119], [0.2249, 0.2500, 0.7745], [0.2751, 0.7500, 0.2745], [0.3230, 0.2500, 0.5119], [0.4750, 0.2500, 0.1094], [0.5250, 0.7500, 0.8906], [0.6770, 0.7500, 0.4881], [0.7249, 0.2500, 0.7255], [0.7751, 0.7500, 0.2255], [0.8230, 0.2500, 0.9881], [0.9750, 0.2500, 0.3906]]}

---

{"formula": "BaNaPt4", "functional": "GGA-PBE", "state": "relaxed", "space_group": "F-43m, No. 216", "dft_energy_ev_per_cell": -30.956, "m_tot_mub_per_atom": 0.002, "cell": [[0.0000, 3.9272, 3.9272], [3.9272, 0.0000, 3.9272], [3.9272, 3.9272, 0.0000]], "species": ["Ba", "Na", "Pt", "Pt", "Pt", "Pt"], "frac_coords": [[0.0000, 0.0000, 0.0000], [0.2500, 0.2500, 0.2500], [0.1265, 0.6245, 0.6245], [0.6245, 0.1265, 0.6245], [0.6245, 0.6245, 0.1265], [0.6245, 0.6245, 0.6245]]}

---

{"formula": "NaNb2", "functional": "GGA-PBE", "state": "relaxed", "space_group": "Fd-3m, No. 227", "e_above_lowest_polymorph_mev_per_atom": 0, "m_tot_mub_per_atom": 0.006, "cell": [[0.0000, 3.9849, 3.9849], [3.9849, 0.0000, 3.9849], [3.9849, 3.9849, 0.0000]], "species": ["Na", "Na", "Nb", "Nb", "Nb", "Nb"], "frac_coords": [[0.1250, 0.1250, 0.1250], [0.8750, 0.8750, 0.8750], [0.0000, 0.5000, 0.5000], [0.5000, 0.0000, 0.5000], [0.5000, 0.5000, 0.0000], [0.5000, 0.5000, 0.5000]]}